This record from the Alexandria database describes K2TmVF6 after structural relaxation. The functional is PBE+U. Values from VASP.

Properties
- Total DFT energy (no corrections): -0.4051 Ry per atom
- Crystal system: orthorhombic
- DOS(E_F): 4.812 states/eV/cell
- Total magnetization: 7.9 μB per cell

Geometry as Quantum ESPRESSO input:
```
&SYSTEM
  ibrav = 0, nat = 20, ntyp = 4
/
ATOMIC_SPECIES
Tm 168.93 Tm.upf
F 19.00 F.upf
V 50.94 V.upf
K 39.10 K.upf
CELL_PARAMETERS angstrom
5.920 0.000 0.000
0.000 6.167 0.000
0.000 0.000 10.325
ATOMIC_POSITIONS angstrom
Tm 2.960 1.218 0.000
F 4.451 5.841 0.000
F 2.960 1.148 8.195
F 0.000 5.019 7.292
F 4.383 3.463 5.162
V 0.000 4.295 0.000
K 0.000 1.469 2.470
F 4.430 0.326 5.162
K 0.000 1.469 7.855
V 2.960 1.871 5.162
K 2.960 4.698 2.692
F 1.537 3.463 5.162
F 2.960 1.148 2.130
F 0.000 5.019 3.033
F 4.497 2.703 0.000
Tm 0.000 4.948 5.162
K 2.960 4.698 7.632
F 1.423 2.703 0.000
F 1.470 5.841 0.000
F 1.490 0.326 5.162
```